First-principles (PBE) data for a geometry-optimized Cd2PtAu structure, as listed in the Alexandria database.

Output
DFT formation energy (eV/atom): -0.2255
Total moment (μB per cell): 0.00

a b c (Å): 4.2511 4.2511 4.0614
angles (deg): 90.00 90.00 90.00
Space group P4/mmm (No. 123)
Asymmetric unit:
Cd 0.0000 0.5000 0.0000
Pt 0.0000 0.0000 0.5000
Au 0.5000 0.5000 0.5000